(1)
PrDyY | PBE-GGA | relaxed

Summary:
- ΔE_f (kJ per mole of atoms) = 71
- energy above the most stable polymorph in this dataset (kJ/mol of atoms) = 0.0

Cell lengths 5.5193, 5.5193, 5.5193 Å; angles 60.00, 60.00, 60.00 degrees
Last column: nearest neighbours and their distance in Å.
Element x y z (fractional)
Pr 0.0000 0.0000 0.0000  4 Y 3.38
Dy 0.5000 0.5000 0.5000  4 Y 3.38
Y 0.7500 0.7500 0.7500  4 Dy 3.38, 4 Pr 3.38

---

(2)
Pr3DyY2 | PBE-GGA | relaxed

Summary:
- ΔE_f (kJ per mole of atoms) = -1

Cell lengths 6.3240, 6.3240, 11.6945 Å; angles 90.00, 90.00, 60.01 degrees
Last column: nearest neighbours and their distance in Å.
Element x y z (fractional)
Pr 0.0000 0.0000 0.0000  4 Y 3.60, 2 Dy 3.60, 6 Pr 3.65-3.66
Pr 0.0000 0.0000 0.5000  4 Y 3.60, 2 Dy 3.60, 6 Pr 3.65-3.66
Pr 0.3341 0.3341 0.0000  2 Dy 3.60, 4 Y 3.60-3.61, 6 Pr 3.63-3.66
Pr 0.3341 0.3341 0.5000  2 Dy 3.60, 4 Y 3.60-3.61, 6 Pr 3.63-3.66
Pr 0.6659 0.6659 0.0000  2 Dy 3.60, 4 Y 3.60-3.61, 6 Pr 3.63-3.66
Pr 0.6659 0.6659 0.5000  2 Dy 3.60, 4 Y 3.60-3.61, 6 Pr 3.63-3.66
Dy 0.3334 0.6666 0.7500  6 Pr 3.60, 6 Y 3.65
Dy 0.6666 0.3334 0.2500  6 Pr 3.60, 6 Y 3.65
Y 0.9996 0.3335 0.7500  6 Pr 3.60-3.61, 3 Y 3.65, 3 Dy 3.65
Y 0.0004 0.6665 0.2500  6 Pr 3.60-3.61, 3 Y 3.65, 3 Dy 3.65
Y 0.3335 0.9996 0.2500  6 Pr 3.60-3.61, 3 Y 3.65, 3 Dy 3.65
Y 0.6665 0.0004 0.7500  6 Pr 3.60-3.61, 3 Y 3.65, 3 Dy 3.65

---

(3)
DyPt2 | PBE-GGA | relaxed

Summary:
- ΔE_f (kJ per mole of atoms) = -107

Cell lengths 5.4168, 5.4168, 5.4168 Å; angles 60.00, 60.00, 60.00 degrees
Last column: nearest neighbours and their distance in Å.
Element x y z (fractional)
Dy 0.1250 0.1250 0.1250  12 Pt 3.18, 4 Dy 3.32
Dy 0.8750 0.8750 0.8750  12 Pt 3.18, 4 Dy 3.32
Pt 0.0000 0.5000 0.5000  6 Pt 2.71
Pt 0.5000 0.0000 0.5000  6 Pt 2.71
Pt 0.5000 0.5000 0.0000  6 Pt 2.71
Pt 0.5000 0.5000 0.5000  6 Pt 2.71

---

(4)
Dy5Pt2 | PBE-GGA | relaxed

Summary:
- ΔE_f (kJ per mole of atoms) = -78

Cell lengths 8.8209, 8.8209, 7.0466 Å; angles 96.19, 96.19, 43.50 degrees
Last column: nearest neighbours and their distance in Å.
Element x y z (fractional)
Dy 0.0662 0.9338 0.7500  4 Pt 2.89-2.94
Dy 0.1535 0.2875 0.3111  3 Pt 2.85-3.14
Dy 0.2875 0.1535 0.8111  3 Pt 2.85-3.14
Dy 0.2919 0.5197 0.0728  2 Pt 2.82-2.85
Dy 0.4803 0.7081 0.4272  2 Pt 2.82-2.85
Dy 0.5197 0.2919 0.5728  2 Pt 2.82-2.85
Dy 0.7081 0.4803 0.9272  2 Pt 2.82-2.85
Dy 0.7125 0.8465 0.1889  3 Pt 2.85-3.14
Dy 0.8465 0.7125 0.6889  3 Pt 2.85-3.14
Dy 0.9338 0.0662 0.2500  4 Pt 2.89-2.94
Pt 0.0944 0.6816 0.4288  7 Dy 2.82-3.14
Pt 0.3184 0.9056 0.0712  7 Dy 2.82-3.14
Pt 0.6816 0.0944 0.9288  7 Dy 2.82-3.14
Pt 0.9056 0.3184 0.5712  7 Dy 2.82-3.14

---

(5)
DyPt2 | PBE-GGA | relaxed

Summary:
- ΔE_f (kJ per mole of atoms) = -54

Cell lengths 4.5456, 4.5456, 4.5456 Å; angles 60.00, 60.00, 60.00 degrees
Last column: nearest neighbours and their distance in Å.
Element x y z (fractional)
Dy 0.0000 0.0000 0.0000  8 Pt 2.78
Pt 0.2500 0.2500 0.2500  4 Dy 2.78
Pt 0.7500 0.7500 0.7500  4 Dy 2.78

---

(6)
DyPt3 | PBE-GGA | relaxed

Summary:
- ΔE_f (kJ per mole of atoms) = -99

Cell lengths 4.1083, 4.1083, 4.1083 Å; angles 90.00, 90.00, 90.00 degrees
Last column: nearest neighbours and their distance in Å.
Element x y z (fractional)
Dy 0.0000 0.0000 0.0000  12 Pt 2.91
Pt 0.0000 0.5000 0.5000  4 Dy 2.91, 8 Pt 2.91
Pt 0.5000 0.0000 0.5000  4 Dy 2.91, 8 Pt 2.91
Pt 0.5000 0.5000 0.0000  4 Dy 2.91, 8 Pt 2.91

---

(7)
DyPuPt2 | PBE-GGA | relaxed

Summary:
- ΔE_f (kJ per mole of atoms) = -104

Cell lengths 4.3775, 5.7280, 5.7280 Å; angles 38.93, 90.00, 90.00 degrees
Last column: nearest neighbours and their distance in Å.
Element x y z (fractional)
Dy 0.0000 0.0000 0.0000  7 Pt 2.92-3.13
Pu 0.5000 0.2772 0.2772  7 Pt 2.94-3.12
Pt 0.0000 0.7299 0.7299  3 Dy 2.92-3.13, 2 Pt 2.93, 4 Pu 2.95
Pt 0.5000 0.5490 0.5490  2 Pt 2.93, 3 Pu 2.94-3.12, 4 Dy 2.95

---

(8)
RbDyTe3Pt | PBE-GGA | relaxed

Cell lengths 9.2538, 9.2538, 10.5049 Å; angles 90.00, 90.00, 153.29 degrees
Last column: nearest neighbours and their distance in Å.
Element x y z (fractional)
Rb 0.2482 0.7518 0.7500  6 Te 3.66-3.68
Rb 0.7518 0.2482 0.2500  6 Te 3.66-3.68
Dy 0.0000 0.0000 0.0000  6 Te 3.05-3.09, 4 Pt 3.39
Dy 0.0000 0.0000 0.5000  6 Te 3.05-3.09, 4 Pt 3.39
Te 0.0865 0.9135 0.2500  2 Pt 2.72
Te 0.3847 0.6153 0.0789  1 Pt 2.66
Te 0.3847 0.6153 0.4211  1 Pt 2.66
Te 0.6153 0.3847 0.5789  1 Pt 2.66
Te 0.6153 0.3847 0.9211  1 Pt 2.66
Te 0.9135 0.0865 0.7500  2 Pt 2.72
Pt 0.4935 0.5065 0.2500  4 Te 2.66-2.72
Pt 0.5065 0.4935 0.7500  4 Te 2.66-2.72

---

Number 1: magnetization 0.01 μB per atom, calculated total energy -13.6 eV per cell, mass density 5.48 g/cm³. Number 2: magnetization 0.01 μB per atom, calculated total energy -63.8 eV per cell, mass density 6.26 g/cm³. Number 3: magnetization 0.00 μB per atom, calculated total energy -40.1 eV per cell, mass density 16.33 g/cm³. Number 4: magnetization 0.00 μB per atom, calculated total energy -81.6 eV per cell, mass density 10.66 g/cm³. Number 5: magnetization 0.00 μB per atom, calculated total energy -18.4 eV per cell, mass density 13.82 g/cm³. Number 6: magnetization 0.00 μB per atom, calculated total energy -26.9 eV per cell, mass density 17.91 g/cm³. Number 7: magnetization 1.36 μB per atom, calculated total energy -35.1 eV per cell, mass density 14.66 g/cm³. Number 8: magnetization 0.00 μB per atom, calculated total energy -53.4 eV per cell, mass density 6.78 g/cm³.